[1]
A plane-wave DFT calculation with GGA-PBEsol was carried out for GaSnF3 after structural relaxation.

Output
Crystal system = cubic
Energy = -22.09 eV per formula unit
Total moment = 0.00 μB per atom
Formation energy from raw total energies = -1.741 eV/atom
V = 19.25 Å³ per atom

abc: 4.583 4.583 4.583
angles: 90.00 90.00 90.00
Element x y z (fractional)
Sn  0.000  0.000  0.000
Ga  0.500  0.500  0.500
F  0.000  0.500  0.000
F  0.000  0.000  0.500
F  0.500  0.000  0.000

[2]
A plane-wave DFT calculation with GGA-PBEsol was carried out for AgW2Br after structural relaxation.

Output
Crystal system = orthorhombic
Energy = -30.46 eV per formula unit
Total moment = 0.00 μB per atom
Formation energy from raw total energies = 0.583 eV/atom
V = 17.85 Å³ per atom

abc: 2.916 2.916 9.183
angles: 90.00 90.00 113.85
Element x y z (fractional)
Br  0.500  0.500  0.233
Ag  0.000  0.000  0.516
W  0.000  0.000  0.983
W  0.500  0.500  0.769

[3]
A plane-wave DFT calculation with GGA-PBEsol was carried out for KBeCr2 after structural relaxation.

Output
Crystal system = orthorhombic
Energy = -20.49 eV per formula unit
Total moment = 0.00 μB per atom
V = 14.65 Å³ per atom

abc: 2.384 4.777 5.797
angles: 114.33 101.87 90.00
Element x y z (fractional)
Cr  0.792  0.792  0.583
Cr  0.208  0.208  0.417
K  0.000  0.500  0.000
Be  0.500  0.000  0.000

[4]
A plane-wave DFT calculation with GGA-PBEsol was carried out for ZrTe4Mo after structural relaxation.

Output
Crystal system = cubic
Energy = -28.31 eV per formula unit
Total moment = 0.42 μB per atom
Formation energy from raw total energies = 1.109 eV/atom
V = 25.53 Å³ per atom

abc: 6.006 6.006 6.006
angles: 60.00 60.00 60.00
Element x y z (fractional)
Mo  0.000  0.000  0.000
Te  0.375  0.375  0.375
Te  0.375  0.375  0.876
Te  0.876  0.375  0.375
Te  0.375  0.876  0.375
Zr  0.750  0.750  0.750